# TiCd3 PBE-GGA relaxed
data_TiCd3
_cell_length_a 4.8390
_cell_length_b 4.8390
_cell_length_c 4.8390
_cell_angle_alpha 119.96
_cell_angle_beta 119.96
_cell_angle_gamma 90.07
_symmetry_space_group_name_H-M 'P 1'
_symmetry_Int_Tables_number 1
loop_
_symmetry_equiv_pos_as_xyz
'x,y,z'
loop_
_atom_site_label
_atom_site_type_symbol
_atom_site_fract_x
_atom_site_fract_y
_atom_site_fract_z
_atom_site_occupancy
Ti1 Ti 0.0000 0.0000 0.0000 1
Cd1 Cd 0.2500 0.7500 0.5000 1
Cd2 Cd 0.5000 0.5000 0.0000 1
Cd3 Cd 0.7500 0.2500 0.5000 1
# **Mass density**: 7.98 g/cm3
# **Calculated volume**: 20.0 Å³ per atom
# **Formation energy from the elements**: 0.128 eV/atom
# **M_tot**: 0.254 μB/cell